Entry 1:
# HfMg3Pt

A geometry-optimized HfMg3Pt structure (PBE, Alexandria via LeMat-Bulk).

Output
final energy: -2.55 eV/atom
volume: 31.66 A^3/atom
formation enthalpy at 0 K: 1.6102 eV/atom
mass density: 4.7 Mg/m³
distance to the lowest polymorph of the same formula: 1433 meV per atom

abc: 5.410 5.410 5.410
angles: 90.00 90.00 90.00
Fractional coordinates of all 5 atoms:
Mg  0.000  0.500  0.000
Pt  0.500  0.500  0.500
Mg  0.500  0.000  0.000
Hf  0.000  0.000  0.000
Mg  0.000  0.000  0.500



Entry 2:
# HfMgPt

A geometry-optimized HfMgPt structure (PBE, Alexandria via LeMat-Bulk).

Output
final energy: -6.61 eV/atom
volume: 19.08 A^3/atom
formation enthalpy at 0 K: -0.7508 eV/atom
mass density: 11.5 Mg/m³

abc: 3.929 3.929 7.416
angles: 90.02 90.02 90.00
Fractional coordinates of all 6 atoms:
Pt  0.250  0.250  0.720
Mg  0.250  0.750  0.000
Pt  0.750  0.750  0.280
Mg  0.750  0.250  0.000
Hf  0.750  0.750  0.641
Hf  0.250  0.250  0.359



Entry 3:
# HfMgPt3

A geometry-optimized HfMgPt3 structure (PBE, Alexandria via LeMat-Bulk).

Output
final energy: -5.69 eV/atom
volume: 19.08 A^3/atom
formation enthalpy at 0 K: 0.2483 eV/atom
mass density: 13.7 Mg/m³
distance to the lowest polymorph of the same formula: 0 meV per atom

abc: 4.569 4.569 4.569
angles: 90.00 90.00 90.00
Fractional coordinates of all 5 atoms:
Pt  0.000  0.500  0.000
Pt  0.000  0.000  0.500
Pt  0.500  0.000  0.000
Hf  0.500  0.500  0.500
Mg  0.000  0.000  0.000



Entry 4:
# Hf2MgPt9

A geometry-optimized Hf2MgPt9 structure (PBE, Alexandria via LeMat-Bulk).

Output
final energy: -7.30 eV/atom
volume: 16.09 A^3/atom
formation enthalpy at 0 K: -0.9729 eV/atom
mass density: 18.4 Mg/m³

abc: 4.012 4.012 11.997
angles: 90.00 90.00 90.00
Fractional coordinates of all 12 atoms:
Hf  0.000  0.000  0.328
Pt  0.500  0.000  0.834
Pt  0.500  0.000  0.166
Pt  0.500  0.500  0.333
Pt  0.500  0.500  0.667
Pt  0.000  0.500  0.500
Mg  0.000  0.000  0.000
Pt  0.000  0.500  0.834
Pt  0.000  0.500  0.166
Hf  0.000  0.000  0.672
Pt  0.500  0.500  0.000
Pt  0.500  0.000  0.500



Which value of volume does entry 2 give?
19.08 A^3/atom